(1)
Material: PmAl4Ni
Method: DFT, GGA-PBE
State: optimized geometry

abc: 7.773 3.997 6.876
angles: 90.00 90.00 90.00
Positions (direct):
Pm: 0.250 0.000 0.128
Pm: 0.750 0.000 0.872
Al: 0.000 0.000 0.500
Al: 0.073 0.500 0.812
Al: 0.250 0.500 0.460
Al: 0.427 0.500 0.812
Al: 0.500 0.000 0.500
Al: 0.573 0.500 0.188
Al: 0.750 0.500 0.540
Al: 0.927 0.500 0.188
Ni: 0.250 0.000 0.686
Ni: 0.750 0.000 0.314

Computed properties:
* ρ: 4.8 g cm⁻³
* energy above the lowest structure with this stoichiometry: 63 meV/atom


(2)
Material: Ti6Al2In
Method: DFT, GGA-PBE
State: optimized geometry

abc: 7.539 7.539 7.539
angles: 114.71 113.50 100.55
Positions (direct):
Ti: 0.039 0.821 0.218
Ti: 0.251 0.549 0.298
Ti: 0.251 0.952 0.702
Ti: 0.296 0.293 0.589
Ti: 0.296 0.707 0.003
Ti: 0.398 0.179 0.218
Ti: 0.602 0.821 0.782
Ti: 0.704 0.293 0.997
Ti: 0.704 0.707 0.411
Ti: 0.749 0.048 0.298
Ti: 0.749 0.451 0.702
Ti: 0.961 0.179 0.782
Al: 0.000 0.156 0.156
Al: 0.000 0.844 0.844
Al: 0.371 0.371 0.000
Al: 0.629 0.629 0.000
In: 0.000 0.500 0.500
In: 0.500 0.000 0.500

Computed properties:
* ρ: 4.7 g cm⁻³
* energy above the lowest structure with this stoichiometry: 0 meV/atom